## Cs4MgIn4 (GGA-PBE)

Data for crystalline Cs4MgIn4 at its relaxed geometry.

```
9
Lattice="-3.9513 3.9513 8.6472 3.9513 -3.9513 8.6472 3.9513 3.9513 -8.6472" Properties=species:S:1:pos:R:3 pbc="T T T"
Cs 2.5275 2.5275 -2.2394
Cs 1.4238 -1.4238 10.8866
Cs 1.4238 1.4238 6.4079
Cs -1.4238 1.4238 10.8866
Mg 0.0000 0.0000 0.0000
In 2.8785 2.8785 -6.1329
In 1.0728 1.0728 2.5144
In 1.0728 -1.0728 14.7801
In -1.0728 1.0728 14.7801
```

Properties
N(E_F): 1.3755 states/eV/atom
Calculated volume: 60.0 A^3/atom
Formation enthalpy at 0 K: 0.1564 eV per atom
Total energy: -14.6 eV for the cell shown